# PBE-GGA NdMoPd, relaxed
data_NdMoPd
_space_group_name_H-M_alt 'F -4 3 m'
_space_group_IT_number 216
_space_group_name_Hall 'F -4 2 3'
_cell_length_a 6.677
_cell_length_b 6.677
_cell_length_c 6.677
_cell_angle_alpha 90.00
_cell_angle_beta 90.00
_cell_angle_gamma 90.00
loop_
_atom_site_label
_atom_site_type_symbol
_atom_site_fract_x
_atom_site_fract_y
_atom_site_fract_z
_atom_site_occupancy
Nd1 Nd 0.000 0.000 0.000 1
Mo1 Mo 0.000 0.000 0.500 1
Pd1 Pd 0.250 0.250 0.750 1
# **Calculated formation energy**: 0.5203 eV per atom
# **Magnetization**: 1.138 μB per atom
# **E_tot**: -6.41 eV/atom



# PBE-GGA PmNdMo, relaxed
data_PmNdMo
_space_group_name_H-M_alt 'F -4 3 m'
_space_group_IT_number 216
_space_group_name_Hall 'F -4 2 3'
_cell_length_a 6.990
_cell_length_b 6.990
_cell_length_c 6.990
_cell_angle_alpha 90.00
_cell_angle_beta 90.00
_cell_angle_gamma 90.00
loop_
_atom_site_label
_atom_site_type_symbol
_atom_site_fract_x
_atom_site_fract_y
_atom_site_fract_z
_atom_site_occupancy
Pm1 Pm 0.000 0.000 0.000 1
Nd1 Nd 0.250 0.250 0.750 1
Mo1 Mo 0.000 0.000 0.500 1
# **Calculated formation energy**: 1.2433 eV per atom
# **Magnetization**: 0.012 μB per atom
# **E_tot**: -5.54 eV/atom



# PBE-GGA RbNdMo, relaxed
data_RbNdMo
_space_group_name_H-M_alt 'F -4 3 m'
_space_group_IT_number 216
_space_group_name_Hall 'F -4 2 3'
_cell_length_a 7.580
_cell_length_b 7.580
_cell_length_c 7.580
_cell_angle_alpha 90.00
_cell_angle_beta 90.00
_cell_angle_gamma 90.00
loop_
_atom_site_label
_atom_site_type_symbol
_atom_site_fract_x
_atom_site_fract_y
_atom_site_fract_z
_atom_site_occupancy
Rb1 Rb 0.000 0.000 0.000 1
Nd1 Nd 0.000 0.000 0.500 1
Mo1 Mo 0.250 0.250 0.750 1
# **Magnetization**: 0.806 μB per atom
# **E_tot**: -3.81 eV/atom



# PBE-GGA NdReMo, relaxed
data_NdReMo
_space_group_name_H-M_alt 'F -4 3 m'
_space_group_IT_number 216
_space_group_name_Hall 'F -4 2 3'
_cell_length_a 6.471
_cell_length_b 6.471
_cell_length_c 6.471
_cell_angle_alpha 90.00
_cell_angle_beta 90.00
_cell_angle_gamma 90.00
loop_
_atom_site_label
_atom_site_type_symbol
_atom_site_fract_x
_atom_site_fract_y
_atom_site_fract_z
_atom_site_occupancy
Nd1 Nd 0.000 0.000 0.000 1
Re1 Re 0.250 0.250 0.250 1
Mo1 Mo 0.250 0.250 0.750 1
# **Calculated formation energy**: 2.0234 eV per atom
# **Magnetization**: 0.077 μB per atom
# **E_tot**: -7.32 eV/atom



# PBE-GGA NdSbMo, relaxed
data_NdSbMo
_space_group_name_H-M_alt 'F -4 3 m'
_space_group_IT_number 216
_space_group_name_Hall 'F -4 2 3'
_cell_length_a 6.749
_cell_length_b 6.749
_cell_length_c 6.749
_cell_angle_alpha 90.00
_cell_angle_beta 90.00
_cell_angle_gamma 90.00
loop_
_atom_site_label
_atom_site_type_symbol
_atom_site_fract_x
_atom_site_fract_y
_atom_site_fract_z
_atom_site_occupancy
Nd1 Nd 0.000 0.000 0.000 1
Sb1 Sb 0.000 0.000 0.500 1
Mo1 Mo 0.250 0.250 0.250 1
# **E above lowest polymorph**: 0 meV per atom
# **Magnetization**: 0.003 μB per atom
# **E_tot**: -6.29 eV/atom



# PBE-GGA NdMo6Se8, relaxed
data_NdMo6Se8
_space_group_name_H-M_alt 'R -3'
_space_group_IT_number 148
_space_group_name_Hall '-R 3'
_cell_length_a 9.4994
_cell_length_b 9.4994
_cell_length_c 12.0312
_cell_angle_alpha 90.00
_cell_angle_beta 90.00
_cell_angle_gamma 120.00
loop_
_atom_site_label
_atom_site_type_symbol
_atom_site_fract_x
_atom_site_fract_y
_atom_site_fract_z
_atom_site_occupancy
Nd1 Nd 0.0000 0.0000 0.0000 1
Mo1 Mo 0.0173 0.1715 0.4062 1
Se1 Se 0.0000 0.0000 0.2405 1
Se2 Se 0.0052 0.6290 0.7509 1
# **Magnetization**: 0.000 μB per atom
# **E_tot**: -7.23 eV/atom